Ta2GeRuPb after structural relaxation. Source: Alexandria via LeMat-Bulk, functional GGA-PBE.

- DOS(E_F) (states/eV per cell) = 3.79
- formation energy from the elements (eV/f.u.) = 3.81

a = 4.9368 Å, b = 4.9368 Å, c = 4.6174 Å
α = 90.00°, β = 90.00°, γ = 90.00°
Space group P4/mmm (No. 123)
Asymmetric unit:
Ta 0.0000 0.5000 0.0000 x2
Ge 0.0000 0.0000 0.5000 x1
Ru 0.0000 0.0000 0.0000 x1
Pb 0.5000 0.5000 0.5000 x1